[1]
DFT (PBE) results for a relaxed structure of La2Hg2Au.

The excess energy over the best structure of this formula in the dataset is 133 meV/atom.

The structure belongs to space group I4/mmm (No. 139); the cell edges are 4.0886, 4.0886 and 17.6536 Å and the angles 90.00°, 90.00° and 90.00°. The asymmetric unit holds La at (0.0000, 0.0000, 0.0955), Hg at (0.0000, 0.5000, 0.2500) and Au at (0.0000, 0.0000, 0.5000).

[2]
DFT (PBE) results for a relaxed structure of La3HgAu.

The excess energy over the best structure of this formula in the dataset is 412 meV/atom.

The structure belongs to space group Pm-3m (No. 221); the cell edges are 5.7984, 5.7984 and 5.7984 Å and the angles 90.00°, 90.00° and 90.00°. The asymmetric unit holds La at (0.0000, 0.0000, 0.5000), Hg at (0.5000, 0.5000, 0.5000) and Au at (0.0000, 0.0000, 0.0000).

[3]
DFT (PBE) results for a relaxed structure of La2HgAu6.

The structure belongs to space group P-3m1 (No. 164); the cell edges are 6.5463, 6.5463 and 5.6346 Å and the angles 90.00°, 90.00° and 120.00°. The asymmetric unit holds La at (0.3333, 0.6667, 0.3268), Hg at (0.0000, 0.0000, 0.5000) and Au at (0.1874, 0.3748, 0.8256).

[4]
DFT (PBE) results for a relaxed structure of LaHg3Au.

The excess energy over the best structure of this formula in the dataset is 973 meV/atom.

The structure belongs to space group Pm-3m (No. 221); the cell edges are 6.1579, 6.1579 and 6.1579 Å and the angles 90.00°, 90.00° and 90.00°. The asymmetric unit holds La at (0.0000, 0.0000, 0.0000), Hg at (0.0000, 0.0000, 0.5000) and Au at (0.5000, 0.5000, 0.5000).

[5]
DFT (PBE) results for a relaxed structure of La5Hg2Au2.

The structure belongs to space group Cmce (No. 64); the cell edges are 16.7560, 7.5781 and 8.7001 Å and the angles 90.00°, 90.00° and 90.00°. The asymmetric unit holds La at (0.0000, 0.0000, 0.0000), La at (0.1337, 0.1646, 0.3252), Hg at (0.2107, 0.0000, 0.0000) and Au at (0.0000, 0.1254, 0.6298).

[6]
DFT (PBE) results for a relaxed structure of LaHg4Au2.

The structure belongs to space group Cmmm (No. 65); the cell edges are 4.3000, 18.3175 and 4.3547 Å and the angles 90.00°, 90.00° and 90.00°. The asymmetric unit holds La at (0.0000, 0.0000, 0.0000), Hg at (0.0000, 0.1832, 0.5000), Hg at (0.0000, 0.3211, 0.0000) and Au at (0.0000, 0.4267, 0.5000).

[7]
DFT (PBE) results for a relaxed structure of LaHgAu.

The structure belongs to space group P-6m2 (No. 187); the cell edges are 4.9332, 4.9332 and 3.6273 Å and the angles 90.00°, 90.00° and 120.00°. The asymmetric unit holds La at (0.0000, 0.0000, 0.0000), Hg at (0.3333, 0.6667, 0.5000) and Au at (0.6667, 0.3333, 0.5000).

[8]
DFT (PBE) results for a relaxed structure of La3HgAu.

The excess energy over the best structure of this formula in the dataset is 0 meV/atom.

The structure belongs to space group Cmcm (No. 63); the cell edges are 5.4749, 19.8855 and 5.4765 Å and the angles 90.00°, 90.00° and 90.00°. The asymmetric unit holds La at (0.0000, 0.0609, 0.2500), La at (0.0000, 0.2492, 0.2500), La at (0.0000, 0.4369, 0.2500), Hg at (0.0000, 0.1507, 0.7500) and Au at (0.0000, 0.3510, 0.7500).

Taking the records one at a time from the top gives E values of -3.09; -3.76; -3.87; -1.25; -4.08; -2.10; -3.50; -4.17 eV per atom.
Taking the records one at a time from the top gives calculated formation energy values of -1.70; -0.43; -5.01; 2.88; -4.92; -1.98; -1.98; -2.49 eV per formula unit.